# 1
## Pm5Cd2O2 (PBE)

Data for a relaxed structure of Pm5Cd2O2. Values from VASP.

DOS(E_F) (states/eV/f.u.): 4.92
Formation energy (no corrections) (kJ per mole of atoms): -129.63

Geometry as Quantum ESPRESSO input:
```
&SYSTEM
  ibrav = 0, nat = 18, ntyp = 3
/
ATOMIC_SPECIES
Cd 112.41 Cd.upf
Pm 145.00 Pm.upf
O 16.00 O.upf
ATOMIC_POSITIONS crystal
Cd 0.116 0.638 0.257
Cd 0.884 0.381 0.743
Pm 0.232 0.741 0.963
O 0.000 0.010 0.000
Pm 0.000 0.010 0.500
Pm 0.768 0.278 0.037
Pm 0.232 0.241 0.963
O 0.500 0.510 0.000
Pm 0.217 0.145 0.272
O 0.215 0.260 0.500
Pm 0.000 0.510 0.500
Pm 0.768 0.778 0.037
Pm 0.555 0.645 0.272
Pm 0.445 0.373 0.728
Pm 0.783 0.873 0.728
Cd 0.640 0.138 0.257
O 0.785 0.760 0.500
Cd 0.360 0.881 0.743
CELL_PARAMETERS angstrom
6.815 0.000 -2.233
-0.725 6.695 -2.212
-0.357 -0.347 10.425
```



# 2
## Al2Tl (PBE)

Data for a relaxed structure of Al2Tl. Values from VASP.

Energy relative to the lowest polymorph listed for this composition (kJ/mol of formula units): 2.5
DFT formation energy (eV per atom): 0.1851
DOS(E_F) (states/eV/f.u.): 1.07

Geometry as Quantum ESPRESSO input:
```
&SYSTEM
  ibrav = 0, nat = 6, ntyp = 2
/
ATOMIC_SPECIES
Al 26.98 Al.upf
Tl 204.38 Tl.upf
ATOMIC_POSITIONS crystal
Al 0.348 0.652 0.750
Tl 0.065 0.935 0.750
Al 0.270 0.730 0.250
Tl 0.935 0.065 0.250
Al 0.652 0.348 0.250
Al 0.730 0.270 0.750
CELL_PARAMETERS angstrom
2.910 0.285 10.008
-5.659 -0.542 -8.740
0.415 -4.425 0.005
```



# 3
## NbBI2 (PBE)

Data for a relaxed structure of NbBI2. Values from VASP.

Energy relative to the lowest polymorph listed for this composition (kJ/mol of formula units): 74.3
DOS(E_F) (states/eV/f.u.): 1.77
Formation energy (no corrections) (kJ per mole of atoms): 137.72

Geometry as Quantum ESPRESSO input:
```
&SYSTEM
  ibrav = 0, nat = 8, ntyp = 3
/
ATOMIC_SPECIES
I 126.90 I.upf
Nb 92.91 Nb.upf
B 10.81 B.upf
ATOMIC_POSITIONS crystal
I 0.375 0.412 0.750
I 0.875 0.838 0.750
Nb 0.000 0.000 0.000
Nb 0.750 0.250 0.500
I 0.588 0.125 0.250
B 0.250 0.750 0.500
I 0.162 0.625 0.250
B 0.500 0.500 0.000
CELL_PARAMETERS angstrom
-4.478 1.579 3.736
-3.485 -4.346 -2.339
-2.002 -5.091 4.638
```



# 4
## AlGa2Pd4 (PBE)

Data for a relaxed structure of AlGa2Pd4. Values from VASP.

DFT formation energy (eV per atom): -0.0605
DOS(E_F) (states/eV/f.u.): 2.93

Geometry as Quantum ESPRESSO input:
```
&SYSTEM
  ibrav = 0, nat = 7, ntyp = 3
/
ATOMIC_SPECIES
Pd 106.42 Pd.upf
Ga 69.72 Ga.upf
Al 26.98 Al.upf
ATOMIC_POSITIONS crystal
Pd 0.191 0.191 0.618
Pd 0.809 0.809 0.382
Pd 0.000 0.500 0.000
Ga 0.384 0.384 0.233
Pd 0.500 0.000 0.000
Al 0.000 0.000 0.000
Ga 0.616 0.616 0.767
CELL_PARAMETERS angstrom
4.569 0.000 0.000
0.000 4.569 0.000
2.284 2.284 6.302
```



# 5
## KZrTl2 (PBE)

Data for a relaxed structure of KZrTl2. Values from VASP.

Energy relative to the lowest polymorph listed for this composition (kJ/mol of formula units): 4.0
DFT formation energy (eV per atom): 0.0470
DOS(E_F) (states/eV/f.u.): 4.42

Geometry as Quantum ESPRESSO input:
```
&SYSTEM
  ibrav = 0, nat = 4, ntyp = 3
/
ATOMIC_SPECIES
Tl 204.38 Tl.upf
K 39.10 K.upf
Zr 91.22 Zr.upf
ATOMIC_POSITIONS crystal
Tl 0.000 0.000 0.037
K 0.500 0.500 0.750
Tl 0.000 0.000 0.463
Zr 0.500 0.500 0.250
CELL_PARAMETERS angstrom
-1.783 1.775 -2.374
-2.290 -2.584 -0.212
-5.162 4.011 6.877
```



# 6
## DySc4Sb5 (PBE)

Data for a relaxed structure of DySc4Sb5. Values from VASP.

DOS(E_F) (states/eV/f.u.): 1.87
Formation energy (no corrections) (kJ per mole of atoms): -93.34

Geometry as Quantum ESPRESSO input:
```
&SYSTEM
  ibrav = 0, nat = 10, ntyp = 3
/
ATOMIC_SPECIES
Sc 44.96 Sc.upf
Sb 121.76 Sb.upf
Dy 162.50 Dy.upf
ATOMIC_POSITIONS crystal
Sc 0.203 0.203 0.406
Sb 0.199 0.699 0.398
Sb 0.801 0.301 0.602
Sb 0.000 0.500 0.000
Sc 0.600 0.600 0.200
Sb 0.606 0.106 0.211
Dy 0.000 0.000 0.000
Sc 0.797 0.797 0.594
Sc 0.400 0.400 0.800
Sb 0.394 0.894 0.789
CELL_PARAMETERS angstrom
4.130 0.000 -0.797
-0.308 5.743 -1.594
0.005 -0.012 11.129
```



# 7
## CdBrO4 (PBE)

Data for a relaxed structure of CdBrO4. Values from VASP.

Energy relative to the lowest polymorph listed for this composition (kJ/mol of formula units): 0.0
Formation energy (no corrections) (kJ per mole of atoms): -9.80

Geometry as Quantum ESPRESSO input:
```
&SYSTEM
  ibrav = 0, nat = 24, ntyp = 3
/
ATOMIC_SPECIES
O 16.00 O.upf
Br 79.90 Br.upf
Cd 112.41 Cd.upf
ATOMIC_POSITIONS crystal
O 0.967 0.761 0.162
O 0.710 0.333 0.712
O 0.467 0.261 0.338
Br 0.688 0.376 0.265
O 0.586 0.516 0.045
Cd 0.341 0.142 0.905
O 0.533 0.739 0.662
O 0.914 0.984 0.545
O 0.210 0.833 0.788
O 0.346 0.955 0.098
O 0.654 0.045 0.902
O 0.086 0.016 0.455
Br 0.188 0.876 0.235
Cd 0.841 0.642 0.595
O 0.290 0.667 0.288
O 0.846 0.455 0.402
O 0.414 0.484 0.955
Cd 0.159 0.358 0.405
Cd 0.659 0.858 0.095
O 0.033 0.239 0.838
Br 0.812 0.124 0.765
O 0.154 0.545 0.598
Br 0.312 0.624 0.735
O 0.790 0.167 0.212
CELL_PARAMETERS angstrom
6.789 0.256 0.000
-1.586 6.084 0.000
0.000 0.000 10.161
```



# 8
## Sm4Tm5Mg2 (PBE)

Data for a relaxed structure of Sm4Tm5Mg2. Values from VASP.

Energy relative to the lowest polymorph listed for this composition (kJ/mol of formula units): 0.0
DFT formation energy (eV per atom): 0.0128
DOS(E_F) (states/eV/f.u.): 13.75

Geometry as Quantum ESPRESSO input:
```
&SYSTEM
  ibrav = 0, nat = 11, ntyp = 3
/
ATOMIC_SPECIES
Sm 150.36 Sm.upf
Tm 168.93 Tm.upf
Mg 24.30 Mg.upf
ATOMIC_POSITIONS crystal
Sm 0.372 0.815 0.112
Sm 0.420 0.553 0.733
Tm 0.637 0.883 0.511
Sm 0.628 0.185 0.888
Mg 0.277 0.365 0.822
Tm 0.452 0.268 0.366
Tm 0.548 0.732 0.634
Mg 0.723 0.635 0.178
Tm 0.500 0.000 0.000
Sm 0.580 0.447 0.267
Tm 0.363 0.117 0.489
CELL_PARAMETERS angstrom
3.289 -0.790 -0.859
-2.867 10.416 -6.355
0.587 -4.751 13.656
```



# 9
## MnReW2 (PBE)

Data for a relaxed structure of MnReW2. Values from VASP.

Energy relative to the lowest polymorph listed for this composition (kJ/mol of formula units): 15.8
DFT formation energy (eV per atom): 0.1240
DOS(E_F) (states/eV/f.u.): 4.18

Geometry as Quantum ESPRESSO input:
```
&SYSTEM
  ibrav = 0, nat = 4, ntyp = 3
/
ATOMIC_SPECIES
Re 186.21 Re.upf
W 183.84 W.upf
Mn 54.94 Mn.upf
ATOMIC_POSITIONS crystal
Re 0.500 0.500 0.500
W 0.250 0.250 0.250
Mn 0.000 0.000 0.000
W 0.750 0.750 0.750
CELL_PARAMETERS angstrom
0.000 3.086 3.086
3.086 0.000 3.086
3.086 3.086 0.000
```



# 10
## Er5Te5P (PBE)

Data for a relaxed structure of Er5Te5P. Values from VASP.

DOS(E_F) (states/eV/f.u.): 4.07
Formation energy (no corrections) (kJ per mole of atoms): -135.16

Geometry as Quantum ESPRESSO input:
```
&SYSTEM
  ibrav = 0, nat = 11, ntyp = 3
/
ATOMIC_SPECIES
Er 167.26 Er.upf
P 30.97 P.upf
Te 127.60 Te.upf
ATOMIC_POSITIONS crystal
Er 0.155 0.310 0.846
Er 0.153 0.305 0.311
P 0.000 0.000 0.000
Er 0.845 0.690 0.154
Te 0.672 0.344 0.337
Te 0.662 0.324 0.821
Te 0.338 0.676 0.179
Te 0.328 0.656 0.663
Te 0.000 0.000 0.500
Er 0.500 0.000 0.000
Er 0.847 0.695 0.689
CELL_PARAMETERS angstrom
-1.352 -5.777 -1.076
2.077 1.372 6.920
-8.203 2.033 -0.604
```



# 11
## Cr2NiMo (PBE)

Data for a relaxed structure of Cr2NiMo. Values from VASP.

DFT formation energy (eV per atom): 0.1978
DOS(E_F) (states/eV/f.u.): 4.12

Geometry as Quantum ESPRESSO input:
```
&SYSTEM
  ibrav = 0, nat = 4, ntyp = 3
/
ATOMIC_SPECIES
Ni 58.69 Ni.upf
Cr 52.00 Cr.upf
Mo 95.94 Mo.upf
ATOMIC_POSITIONS crystal
Ni 0.500 0.500 0.750
Cr 0.000 0.000 0.975
Mo 0.500 0.500 0.250
Cr 0.000 0.000 0.525
CELL_PARAMETERS angstrom
2.516 0.000 0.000
0.000 2.516 0.000
0.000 0.000 8.018
```



# 12
## Li2In5Pd3 (PBE)

Data for a relaxed structure of Li2In5Pd3. Values from VASP.

DFT formation energy (eV per atom): -0.3857
DOS(E_F) (states/eV/f.u.): 3.88

Geometry as Quantum ESPRESSO input:
```
&SYSTEM
  ibrav = 0, nat = 20, ntyp = 3
/
ATOMIC_SPECIES
Pd 106.42 Pd.upf
Li 6.94 Li.upf
In 114.82 In.upf
ATOMIC_POSITIONS crystal
Pd 0.123 0.764 0.480
Li 0.895 0.610 0.148
In 0.944 0.036 0.715
In 0.556 0.285 0.964
In 0.517 0.166 0.286
Pd 0.750 0.981 0.019
In 0.750 0.542 0.458
Li 0.395 0.148 0.610
In 0.983 0.714 0.834
Li 0.105 0.390 0.852
Pd 0.377 0.520 0.236
In 0.056 0.964 0.285
In 0.250 0.458 0.542
Pd 0.623 0.480 0.764
In 0.483 0.834 0.714
Li 0.605 0.852 0.390
In 0.444 0.715 0.036
Pd 0.877 0.236 0.520
Pd 0.250 0.019 0.981
In 0.017 0.286 0.166
CELL_PARAMETERS angstrom
0.247 -5.458 -1.985
6.067 -1.263 5.663
-7.276 -1.260 3.994
```



# 13
## Na3Tl3GeBr8 (PBE)

Data for a relaxed structure of Na3Tl3GeBr8. Values from VASP.

DOS(E_F) (states/eV/f.u.): 0.00
Formation energy (no corrections) (kJ per mole of atoms): -103.88

Geometry as Quantum ESPRESSO input:
```
&SYSTEM
  ibrav = 0, nat = 15, ntyp = 4
/
ATOMIC_SPECIES
Br 79.90 Br.upf
Na 22.99 Na.upf
Tl 204.38 Tl.upf
Ge 72.64 Ge.upf
ATOMIC_POSITIONS crystal
Br 0.739 0.478 0.716
Br 0.261 0.522 0.284
Br 0.226 0.979 0.705
Na 0.500 0.000 0.500
Tl 0.500 0.500 0.000
Tl 0.000 0.500 0.000
Ge 0.000 0.000 0.500
Br 0.247 0.021 0.295
Na 0.500 0.500 0.500
Br 0.774 0.548 0.295
Br 0.774 0.021 0.295
Tl 0.000 0.000 0.000
Br 0.753 0.979 0.705
Na 0.000 0.500 0.500
Br 0.226 0.452 0.705
CELL_PARAMETERS angstrom
8.767 -0.007 -0.004
-4.389 7.593 -0.025
0.001 -5.033 7.729
```



# 14
## PuTl3Pb2S6 (PBE)

Data for a relaxed structure of PuTl3Pb2S6. Values from VASP.

DOS(E_F) (states/eV/f.u.): 8.74
Formation energy (no corrections) (kJ per mole of atoms): -66.11

Geometry as Quantum ESPRESSO input:
```
&SYSTEM
  ibrav = 0, nat = 12, ntyp = 4
/
ATOMIC_SPECIES
Tl 204.38 Tl.upf
S 32.06 S.upf
Pu 244.00 Pu.upf
Pb 207.20 Pb.upf
ATOMIC_POSITIONS crystal
Tl 0.169 0.831 0.500
S 0.227 0.227 0.786
Pu 0.000 0.000 0.000
Tl 0.831 0.169 0.500
Tl 0.500 0.500 0.500
S 0.366 0.067 0.204
S 0.773 0.773 0.214
S 0.933 0.634 0.796
S 0.067 0.366 0.204
Pb 0.666 0.334 0.000
Pb 0.334 0.666 0.000
S 0.634 0.933 0.796
CELL_PARAMETERS angstrom
-2.170 -2.337 6.535
3.148 -4.655 -4.615
6.219 3.941 2.146
```



# 15
## Sm3Y5Se8 (PBE)

Data for a relaxed structure of Sm3Y5Se8. Values from VASP.

DOS(E_F) (states/eV/f.u.): 10.87
Formation energy (no corrections) (kJ per mole of atoms): -171.76

Geometry as Quantum ESPRESSO input:
```
&SYSTEM
  ibrav = 0, nat = 16, ntyp = 3
/
ATOMIC_SPECIES
Sm 150.36 Sm.upf
Y 88.91 Y.upf
Se 78.96 Se.upf
ATOMIC_POSITIONS crystal
Sm 0.000 0.000 0.500
Y 0.000 0.000 0.000
Se 0.744 0.250 0.756
Se 0.253 0.253 0.242
Sm 0.000 0.500 0.500
Se 0.256 0.750 0.244
Y 0.500 0.000 0.000
Y 0.000 0.500 0.000
Se 0.750 0.256 0.244
Se 0.250 0.250 0.756
Se 0.747 0.747 0.758
Sm 0.500 0.000 0.500
Se 0.250 0.744 0.756
Se 0.750 0.750 0.244
Y 0.500 0.500 0.500
Y 0.500 0.500 0.000
CELL_PARAMETERS angstrom
7.137 0.000 4.088
2.398 6.722 4.088
0.009 0.006 8.259
```



# 16
## RbHf2SnAs (PBE)

Data for a relaxed structure of RbHf2SnAs. Values from VASP.

Energy relative to the lowest polymorph listed for this composition (kJ/mol of formula units): 0.0
DFT formation energy (eV per atom): 1.0583
DOS(E_F) (states/eV/f.u.): 6.26

Geometry as Quantum ESPRESSO input:
```
&SYSTEM
  ibrav = 0, nat = 5, ntyp = 4
/
ATOMIC_SPECIES
Sn 118.71 Sn.upf
Hf 178.49 Hf.upf
Rb 85.47 Rb.upf
As 74.92 As.upf
ATOMIC_POSITIONS crystal
Sn 0.000 0.000 0.000
Hf 0.500 0.000 0.000
Hf 0.000 0.000 0.500
Rb 0.500 0.500 0.500
As 0.000 0.500 0.000
CELL_PARAMETERS angstrom
-5.317 -0.632 1.001
0.388 -5.532 -1.431
1.125 -1.260 5.179
```



# 17
## PrMg4Pb (PBE)

Data for a relaxed structure of PrMg4Pb. Values from VASP.

DFT formation energy (eV per atom): -0.0482
DOS(E_F) (states/eV/f.u.): 3.50

Geometry as Quantum ESPRESSO input:
```
&SYSTEM
  ibrav = 0, nat = 6, ntyp = 3
/
ATOMIC_SPECIES
Pr 140.91 Pr.upf
Mg 24.30 Mg.upf
Pb 207.20 Pb.upf
ATOMIC_POSITIONS crystal
Pr 0.250 0.250 0.250
Mg 0.625 0.124 0.625
Mg 0.625 0.625 0.124
Pb 0.000 0.000 0.000
Mg 0.124 0.625 0.625
Mg 0.625 0.625 0.625
CELL_PARAMETERS angstrom
-1.258 -2.151 5.554
-3.869 -4.653 0.657
2.074 -5.468 1.688
```



# 18
## Hf3ZnIn6 (PBE)

Data for a relaxed structure of Hf3ZnIn6. Values from VASP.

DFT formation energy (eV per atom): 0.0869
DOS(E_F) (states/eV/f.u.): 5.31

Geometry as Quantum ESPRESSO input:
```
&SYSTEM
  ibrav = 0, nat = 20, ntyp = 3
/
ATOMIC_SPECIES
Hf 178.49 Hf.upf
Zn 65.41 Zn.upf
In 114.82 In.upf
ATOMIC_POSITIONS crystal
Hf 0.121 0.265 0.741
Hf 0.259 0.879 0.735
Zn 0.500 0.500 0.500
In 0.459 0.168 0.571
Hf 0.879 0.735 0.259
In 0.048 0.365 0.128
In 0.832 0.429 0.541
Hf 0.741 0.121 0.265
In 0.128 0.048 0.365
In 0.952 0.635 0.872
In 0.168 0.571 0.459
In 0.365 0.128 0.048
Hf 0.735 0.259 0.879
In 0.571 0.459 0.168
In 0.872 0.952 0.635
Hf 0.265 0.741 0.121
In 0.541 0.832 0.429
In 0.429 0.541 0.832
Zn 0.000 0.000 0.000
In 0.635 0.872 0.952
CELL_PARAMETERS angstrom
-6.085 0.327 4.717
4.239 -3.648 5.302
2.520 6.892 2.354
```



# 19
## BaSc2Br (PBE)

Data for a relaxed structure of BaSc2Br. Values from VASP.

Energy relative to the lowest polymorph listed for this composition (kJ/mol of formula units): 136.4
DOS(E_F) (states/eV/f.u.): 5.71
Formation energy (no corrections) (kJ per mole of atoms): -3.60

Geometry as Quantum ESPRESSO input:
```
&SYSTEM
  ibrav = 0, nat = 4, ntyp = 3
/
ATOMIC_SPECIES
Br 79.90 Br.upf
Sc 44.96 Sc.upf
Ba 137.33 Ba.upf
ATOMIC_POSITIONS crystal
Br 0.500 0.500 0.750
Sc 0.000 0.000 0.935
Sc 0.000 0.000 0.565
Ba 0.500 0.500 0.250
CELL_PARAMETERS angstrom
3.551 0.000 0.000
0.000 3.551 0.000
0.000 0.000 9.570
```



# 20
## RbCo2Rh (PBE)

Data for a relaxed structure of RbCo2Rh. Values from VASP.

Energy relative to the lowest polymorph listed for this composition (kJ/mol of formula units): 123.6
DFT formation energy (eV per atom): 1.3328
DOS(E_F) (states/eV/f.u.): 3.96

Geometry as Quantum ESPRESSO input:
```
&SYSTEM
  ibrav = 0, nat = 4, ntyp = 3
/
ATOMIC_SPECIES
Co 58.93 Co.upf
Rb 85.47 Rb.upf
Rh 102.91 Rh.upf
ATOMIC_POSITIONS crystal
Co 0.250 0.250 0.250
Rb 0.000 0.000 0.000
Co 0.750 0.750 0.750
Rh 0.500 0.500 0.500
CELL_PARAMETERS angstrom
0.000 3.234 3.234
3.234 0.000 3.234
3.234 3.234 0.000
```



The following E_tot values (in eV for the cell shown) correspond, in order, to the records above: -95.2 -18.6 -28.3 -31.0 -14.2 -60.2 -92.1 -44.3 -47.0 -59.3 -35.1 -73.9 -45.2 -61.8 -102.8 -24.2 -15.2 -93.4 -16.4 -17.2.